No. 1
# RbBe2Pd | the Alexandria database | PBE | relaxed
# - density (g cm⁻³) = 3.66
# - final energy (eV per atom) = -3.059
# - N(E_F) (states/eV per cell) = 7.185
# - energy above the most stable polymorph in this dataset (eV/atom) = 0.000
data_RbBe2Pd
_symmetry_space_group_name_H-M 'I 41/a m d'
_symmetry_Int_Tables_number 141
_cell_length_a 5.1235
_cell_length_b 5.1235
_cell_length_c 14.5217
_cell_angle_alpha 90.00
_cell_angle_beta 90.00
_cell_angle_gamma 90.00
loop_
_symmetry_equiv_pos_as_xyz
'x,y,z'
'-x,-y,-z'
'-y+1/4,x+3/4,z+1/4'
'y+1/4,-x+3/4,-z+1/4'
'-x+1/2,-y,z+1/2'
'x+1/2,y,-z+1/2'
'y+1/4,-x+1/4,z+3/4'
'-y+1/4,x+1/4,-z+3/4'
'x,-y,-z'
'-x,y,z'
'-y+1/4,-x+1/4,-z+3/4'
'y+1/4,x+1/4,z+3/4'
'-x+1/2,y,-z+1/2'
'x+1/2,-y,z+1/2'
'y+1/4,x+3/4,-z+1/4'
'-y+1/4,-x+3/4,z+1/4'
'x+1/2,y+1/2,z+1/2'
'-x+1/2,-y+1/2,-z+1/2'
'-y+3/4,x+1/4,z+3/4'
'y+3/4,-x+1/4,-z+3/4'
'-x,-y+1/2,z'
'x,y+1/2,-z'
'y+3/4,-x+3/4,z+1/4'
'-y+3/4,x+3/4,-z+1/4'
'x+1/2,-y+1/2,-z+1/2'
'-x+1/2,y+1/2,z+1/2'
'-y+3/4,-x+3/4,-z+1/4'
'y+3/4,x+3/4,z+1/4'
'-x,y+1/2,-z'
'x,-y+1/2,z'
'y+3/4,x+1/4,-z+3/4'
'-y+3/4,-x+1/4,z+3/4'
loop_
_atom_site_label
_atom_site_fract_x
_atom_site_fract_y
_atom_site_fract_z
_atom_site_occupancy
Rb1 0.0000 0.2500 0.3750 1
Be1 0.0000 0.0000 0.0000 1
Pd1 0.0000 0.2500 0.8750 1

No. 2
# Rb2Be2Pd | the Alexandria database | PBE | relaxed
# - density (g cm⁻³) = 3.10
# - final energy (eV per atom) = -1.639
# - N(E_F) (states/eV per cell) = 1.493
# - energy above the most stable polymorph in this dataset (eV/atom) = 0.710
data_Rb2Be2Pd
_symmetry_space_group_name_H-M 'I 4/m m m'
_symmetry_Int_Tables_number 139
_symmetry_space_group_name_Hall '-I 4 2'
_cell_length_a 5.0240
_cell_length_b 5.0240
_cell_length_c 12.5292
_cell_angle_alpha 90.00
_cell_angle_beta 90.00
_cell_angle_gamma 90.00
loop_
_atom_site_label
_atom_site_fract_x
_atom_site_fract_y
_atom_site_fract_z
_atom_site_occupancy
Rb1 0.0000 0.5000 0.2500 1
Be1 0.0000 0.0000 0.0810 1
Pd1 0.0000 0.0000 0.5000 1

No. 3
# RbBe2Pd | the Alexandria database | PBE | relaxed
# - density (g cm⁻³) = 4.61
# - final energy (eV per atom) = -2.324
# - N(E_F) (states/eV per cell) = 7.335
# - energy above the most stable polymorph in this dataset (eV/atom) = 0.735
data_RbBe2Pd
_symmetry_space_group_name_H-M 'F m -3 m'
_symmetry_Int_Tables_number 225
_symmetry_space_group_name_Hall '-F 4 2 3'
_cell_length_a 6.7133
_cell_length_b 6.7133
_cell_length_c 6.7133
_cell_angle_alpha 90.00
_cell_angle_beta 90.00
_cell_angle_gamma 90.00
loop_
_atom_site_label
_atom_site_fract_x
_atom_site_fract_y
_atom_site_fract_z
_atom_site_occupancy
Rb1 0.0000 0.0000 0.0000 1
Be1 0.2500 0.2500 0.2500 1
Pd1 0.0000 0.0000 0.5000 1

No. 4
# Be2Re2Pd | the Alexandria database | PBE | relaxed
# - density (g cm⁻³) = 12.10
# - final energy (eV per atom) = -6.897
# - N(E_F) (states/eV per cell) = 2.247
# - energy above the most stable polymorph in this dataset (eV/atom) = 0.671
data_Be2Re2Pd
_symmetry_space_group_name_H-M 'I 4/m m m'
_symmetry_Int_Tables_number 139
_symmetry_space_group_name_Hall '-I 4 2'
_cell_length_a 4.1097
_cell_length_b 4.1097
_cell_length_c 8.0775
_cell_angle_alpha 90.00
_cell_angle_beta 90.00
_cell_angle_gamma 90.00
loop_
_atom_site_label
_atom_site_fract_x
_atom_site_fract_y
_atom_site_fract_z
_atom_site_occupancy
Be1 0.0000 0.5000 0.2500 1
Re1 0.0000 0.0000 0.1514 1
Pd1 0.0000 0.0000 0.5000 1

No. 5
# Be2Re2Pd | the Alexandria database | PBE | relaxed
# - density (g cm⁻³) = 12.50
# - final energy (eV per atom) = -7.231
# - N(E_F) (states/eV per cell) = 6.346
# - energy above the most stable polymorph in this dataset (eV/atom) = 0.337
data_Be2Re2Pd
_symmetry_space_group_name_H-M 'P 4/m b m'
_symmetry_Int_Tables_number 127
_symmetry_space_group_name_Hall '-P 4 2ab'
_cell_length_a 7.1279
_cell_length_b 7.1279
_cell_length_c 2.5987
_cell_angle_alpha 90.00
_cell_angle_beta 90.00
_cell_angle_gamma 90.00
loop_
_atom_site_label
_atom_site_fract_x
_atom_site_fract_y
_atom_site_fract_z
_atom_site_occupancy
Be1 0.1744 0.3256 0.0000 1
Re1 0.1222 0.6222 0.5000 1
Pd1 0.0000 0.0000 0.5000 1

No. 6
# Be3RePd | the Alexandria database | PBE | relaxed
# - density (g cm⁻³) = 7.30
# - final energy (eV per atom) = -4.714
# - N(E_F) (states/eV per cell) = 4.773
# - energy above the most stable polymorph in this dataset (eV/atom) = 0.162
data_Be3RePd
_symmetry_space_group_name_H-M 'P m -3 m'
_symmetry_Int_Tables_number 221
_symmetry_space_group_name_Hall '-P 4 2 3'
_cell_length_a 4.1730
_cell_length_b 4.1730
_cell_length_c 4.1730
_cell_angle_alpha 90.00
_cell_angle_beta 90.00
_cell_angle_gamma 90.00
loop_
_atom_site_label
_atom_site_fract_x
_atom_site_fract_y
_atom_site_fract_z
_atom_site_occupancy
Be1 0.0000 0.0000 0.5000 1
Re1 0.0000 0.0000 0.0000 1
Pd1 0.5000 0.5000 0.5000 1

No. 7
# BeRe2Pd2 | the Alexandria database | PBE | relaxed
# - density (g cm⁻³) = 12.35
# - final energy (eV per atom) = -7.016
# - N(E_F) (states/eV per cell) = 7.261
data_BeRe2Pd2
_symmetry_space_group_name_H-M 'I 4/m m m'
_symmetry_Int_Tables_number 139
_symmetry_space_group_name_Hall '-I 4 2'
_cell_length_a 3.5341
_cell_length_b 3.5341
_cell_length_c 12.7945
_cell_angle_alpha 90.00
_cell_angle_beta 90.00
_cell_angle_gamma 90.00
loop_
_atom_site_label
_atom_site_fract_x
_atom_site_fract_y
_atom_site_fract_z
_atom_site_occupancy
Be1 0.0000 0.0000 0.0000 1
Re1 0.0000 0.0000 0.4101 1
Pd1 0.0000 0.5000 0.2500 1

No. 8
# BeRe3Pd | the Alexandria database | PBE | relaxed
# - density (g cm⁻³) = 10.96
# - final energy (eV per atom) = -6.325
# - N(E_F) (states/eV per cell) = 8.944
data_BeRe3Pd
_symmetry_space_group_name_H-M 'P m -3 m'
_symmetry_Int_Tables_number 221
_symmetry_space_group_name_Hall '-P 4 2 3'
_cell_length_a 4.6743
_cell_length_b 4.6743
_cell_length_c 4.6743
_cell_angle_alpha 90.00
_cell_angle_beta 90.00
_cell_angle_gamma 90.00
loop_
_atom_site_label
_atom_site_fract_x
_atom_site_fract_y
_atom_site_fract_z
_atom_site_occupancy
Be1 0.0000 0.0000 0.0000 1
Re1 0.0000 0.5000 0.5000 1
Pd1 0.5000 0.5000 0.5000 1

No. 9
# BeRePd3 | the Alexandria database | PBE | relaxed
# - density (g cm⁻³) = 7.76
# - final energy (eV per atom) = -4.751
# - N(E_F) (states/eV per cell) = 5.995
# - energy above the most stable polymorph in this dataset (eV/atom) = 1.071
data_BeRePd3
_symmetry_space_group_name_H-M 'P m -3 m'
_symmetry_Int_Tables_number 221
_symmetry_space_group_name_Hall '-P 4 2 3'
_cell_length_a 4.7932
_cell_length_b 4.7932
_cell_length_c 4.7932
_cell_angle_alpha 90.00
_cell_angle_beta 90.00
_cell_angle_gamma 90.00
loop_
_atom_site_label
_atom_site_fract_x
_atom_site_fract_y
_atom_site_fract_z
_atom_site_occupancy
Be1 0.0000 0.0000 0.0000 1
Re1 0.5000 0.5000 0.5000 1
Pd1 0.0000 0.5000 0.5000 1

No. 10
# Be2RePd2 | the Alexandria database | PBE | relaxed
# - density (g cm⁻³) = 11.42
# - final energy (eV per atom) = -6.253
# - N(E_F) (states/eV per cell) = 3.875
# - energy above the most stable polymorph in this dataset (eV/atom) = 0.000
data_Be2RePd2
_symmetry_space_group_name_H-M 'P 4/m b m'
_symmetry_Int_Tables_number 127
_symmetry_space_group_name_Hall '-P 4 2ab'
_cell_length_a 6.6985
_cell_length_b 6.6985
_cell_length_c 2.7027
_cell_angle_alpha 90.00
_cell_angle_beta 90.00
_cell_angle_gamma 90.00
loop_
_atom_site_label
_atom_site_fract_x
_atom_site_fract_y
_atom_site_fract_z
_atom_site_occupancy
Be1 0.1350 0.3650 0.0000 1
Re1 0.0000 0.0000 0.0000 1
Pd1 0.1622 0.6622 0.5000 1

No. 11
# BeRePd3 | the Alexandria database | PBE | relaxed
# - density (g cm⁻³) = 11.43
# - final energy (eV per atom) = -5.822
# - N(E_F) (states/eV per cell) = 7.753
# - energy above the most stable polymorph in this dataset (eV/atom) = 0.000
data_BeRePd3
_symmetry_space_group_name_H-M 'P m -3 m'
_symmetry_Int_Tables_number 221
_symmetry_space_group_name_Hall '-P 4 2 3'
_cell_length_a 4.2117
_cell_length_b 4.2117
_cell_length_c 4.2117
_cell_angle_alpha 90.00
_cell_angle_beta 90.00
_cell_angle_gamma 90.00
loop_
_atom_site_label
_atom_site_fract_x
_atom_site_fract_y
_atom_site_fract_z
_atom_site_occupancy
Be1 0.0000 0.0000 0.0000 1
Re1 0.5000 0.5000 0.5000 1
Pd1 0.0000 0.0000 0.5000 1

No. 12
# BeRe2Pd | the Alexandria database | PBE | relaxed
# - density (g cm⁻³) = 13.44
# - final energy (eV per atom) = -7.907
# - N(E_F) (states/eV per cell) = 15.499
data_BeRe2Pd
_symmetry_space_group_name_H-M 'I -4 2 d'
_symmetry_Int_Tables_number 122
_symmetry_space_group_name_Hall 'I -4 2bw'
_cell_length_a 3.6022
_cell_length_b 3.6022
_cell_length_c 18.5868
_cell_angle_alpha 90.00
_cell_angle_beta 90.00
_cell_angle_gamma 90.00
loop_
_atom_site_label
_atom_site_fract_x
_atom_site_fract_y
_atom_site_fract_z
_atom_site_occupancy
Be1 0.0000 0.0000 0.0000 1
Re1 0.2220 0.2500 0.1250 1
Pd1 0.0000 0.0000 0.5000 1